# 1
# Pt3RhBr PBE-GGA relaxed
data_Pt3RhBr
_chemical_formula_sum 'Pt3 Rh1 Br1'
_cell_length_a 4.674
_cell_length_b 4.674
_cell_length_c 4.674
_cell_angle_alpha 90.00
_cell_angle_beta 90.00
_cell_angle_gamma 90.00
_space_group_name_H-M_alt 'P m -3 m'
_space_group_IT_number 221
_space_group_name_Hall '-P 4 2 3'
loop_
_atom_site_label
_atom_site_type_symbol
_atom_site_fract_x
_atom_site_fract_y
_atom_site_fract_z
_atom_site_occupancy
Pt1 Pt 0.000 0.000 0.500 1
Rh1 Rh 0.500 0.500 0.500 1
Br1 Br 0.000 0.000 0.000 1
# Total magnetization   0.305 μB/atom
# Calculated volume   20.42 A^3/atom
# Theoretical density   12.49 Mg/m³
# Formation energy without anion corrections   1.4164 eV/atom
# Electronic total energy   -20.065 eV for the cell shown
# N(E_F)   1.472 states/eV per atom
# Crystal system   cubic



# 2
# PtRh3Br PBE-GGA relaxed
data_PtRh3Br
_chemical_formula_sum 'Pt1 Rh3 Br1'
_cell_length_a 4.873
_cell_length_b 4.873
_cell_length_c 4.873
_cell_angle_alpha 90.00
_cell_angle_beta 90.00
_cell_angle_gamma 90.00
_space_group_name_H-M_alt 'P m -3 m'
_space_group_IT_number 221
_space_group_name_Hall '-P 4 2 3'
loop_
_atom_site_label
_atom_site_type_symbol
_atom_site_fract_x
_atom_site_fract_y
_atom_site_fract_z
_atom_site_occupancy
Pt1 Pt 0.000 0.000 0.000 1
Rh1 Rh 0.000 0.000 0.500 1
Br1 Br 0.500 0.500 0.500 1
# Total magnetization   0.825 μB/atom
# Calculated volume   23.14 A^3/atom
# Theoretical density   8.38 Mg/m³
# Formation energy without anion corrections   1.4029 eV/atom
# Electronic total energy   -22.754 eV for the cell shown
# N(E_F)   2.329 states/eV per atom
# Crystal system   cubic



# 3
# ScPtRhBr2 PBE-GGA relaxed
data_ScPtRhBr2
_chemical_formula_sum 'Sc1 Pt1 Rh1 Br2'
_cell_length_a 5.120
_cell_length_b 5.120
_cell_length_c 5.056
_cell_angle_alpha 90.00
_cell_angle_beta 90.00
_cell_angle_gamma 90.00
_space_group_name_H-M_alt 'P 4/m m m'
_space_group_IT_number 123
_space_group_name_Hall '-P 4 2'
loop_
_atom_site_label
_atom_site_type_symbol
_atom_site_fract_x
_atom_site_fract_y
_atom_site_fract_z
_atom_site_occupancy
Sc1 Sc 0.000 0.000 0.000 1
Pt1 Pt 0.000 0.000 0.500 1
Rh1 Rh 0.500 0.500 0.500 1
Br1 Br 0.000 0.500 0.000 1
# Total magnetization   0.381 μB/atom
# Calculated volume   26.50 A^3/atom
# Theoretical density   6.30 Mg/m³
# Formation energy without anion corrections   0.2671 eV/atom
# Electronic total energy   -21.734 eV for the cell shown
# N(E_F)   1.461 states/eV per atom
# Crystal system   tetragonal



# 4
# PtRh2SeBr PBE-GGA relaxed
data_PtRh2SeBr
_chemical_formula_sum 'Pt1 Rh2 Se1 Br1'
_cell_length_a 4.526
_cell_length_b 4.526
_cell_length_c 5.268
_cell_angle_alpha 90.00
_cell_angle_beta 90.00
_cell_angle_gamma 90.00
_space_group_name_H-M_alt 'P 4/m m m'
_space_group_IT_number 123
_space_group_name_Hall '-P 4 2'
loop_
_atom_site_label
_atom_site_type_symbol
_atom_site_fract_x
_atom_site_fract_y
_atom_site_fract_z
_atom_site_occupancy
Pt1 Pt 0.000 0.000 0.000 1
Rh1 Rh 0.000 0.500 0.500 1
Se1 Se 0.500 0.500 0.500 1
Br1 Br 0.500 0.500 0.000 1
# Total magnetization   0.176 μB/atom
# Calculated volume   21.58 A^3/atom
# Theoretical density   8.61 Mg/m³
# Formation energy without anion corrections   1.0651 eV/atom
# Electronic total energy   -20.576 eV for the cell shown
# N(E_F)   1.799 states/eV per atom
# Crystal system   tetragonal



# 5
# Sm6Pt2RhBr3 PBE-GGA relaxed
data_Sm6Pt2RhBr3
_chemical_formula_sum 'Sm12 Pt4 Rh2 Br6'
_cell_length_a 19.505
_cell_length_b 4.148
_cell_length_c 9.060
_cell_angle_alpha 90.00
_cell_angle_beta 110.21
_cell_angle_gamma 90.00
_space_group_name_H-M_alt 'C 1 2/m 1'
_space_group_IT_number 12
_space_group_name_Hall '-C 2y'
loop_
_atom_site_label
_atom_site_type_symbol
_atom_site_fract_x
_atom_site_fract_y
_atom_site_fract_z
_atom_site_occupancy
Sm1 Sm 0.011 0.000 0.217 1
Sm2 Sm 0.152 0.500 0.110 1
Sm3 Sm 0.177 0.500 0.555 1
Pt1 Pt 0.167 0.000 0.335 1
Rh1 Rh 0.000 0.500 0.000 1
Br1 Br 0.000 0.500 0.500 1
Br2 Br 0.166 0.000 0.832 1
# Total magnetization   0.000 μB/atom
# Calculated volume   28.66 A^3/atom
# Theoretical density   7.89 Mg/m³
# Formation energy without anion corrections   -1.1963 eV/atom
# Electronic total energy   -134.243 eV for the cell shown
# N(E_F)   0.715 states/eV per atom
# Crystal system   monoclinic



# 6
# Sm6PtRh2Br3 PBE-GGA relaxed
data_Sm6PtRh2Br3
_chemical_formula_sum 'Sm12 Pt2 Rh4 Br6'
_cell_length_a 7.126
_cell_length_b 12.341
_cell_length_c 8.083
_cell_angle_alpha 90.00
_cell_angle_beta 107.07
_cell_angle_gamma 90.00
_space_group_name_H-M_alt 'C 1 2/m 1'
_space_group_IT_number 12
_space_group_name_Hall '-C 2y'
loop_
_atom_site_label
_atom_site_type_symbol
_atom_site_fract_x
_atom_site_fract_y
_atom_site_fract_z
_atom_site_occupancy
Sm1 Sm 0.225 0.000 0.195 1
Sm2 Sm 0.235 0.330 0.195 1
Pt1 Pt 0.000 0.500 0.000 1
Rh1 Rh 0.000 0.167 0.000 1
Br1 Br 0.000 0.000 0.500 1
Br2 Br 0.000 0.332 0.500 1
# Total magnetization   0.000 μB/atom
# Calculated volume   28.31 A^3/atom
# Theoretical density   7.54 Mg/m³
# Formation energy without anion corrections   -1.1419 eV/atom
# Electronic total energy   -135.560 eV for the cell shown
# N(E_F)   0.467 states/eV per atom
# Crystal system   monoclinic



# 7
# Sm4PtRhBr2 PBE-GGA relaxed
data_Sm4PtRhBr2
_chemical_formula_sum 'Sm4 Pt1 Rh1 Br2'
_cell_length_a 7.180
_cell_length_b 4.130
_cell_length_c 8.071
_cell_angle_alpha 90.00
_cell_angle_beta 107.42
_cell_angle_gamma 90.00
_space_group_name_H-M_alt 'P 1 2/m 1'
_space_group_IT_number 10
_space_group_name_Hall '-P 2y'
loop_
_atom_site_label
_atom_site_type_symbol
_atom_site_fract_x
_atom_site_fract_y
_atom_site_fract_z
_atom_site_occupancy
Sm1 Sm 0.229 0.000 0.195 1
Sm2 Sm 0.261 0.500 0.805 1
Pt1 Pt 0.500 0.000 0.000 1
Rh1 Rh 0.000 0.500 0.000 1
Br1 Br 0.000 0.000 0.500 1
Br2 Br 0.500 0.500 0.500 1
# Total magnetization   0.000 μB/atom
# Calculated volume   28.54 A^3/atom
# Theoretical density   7.70 Mg/m³
# Formation energy without anion corrections   -1.1687 eV/atom
# Electronic total energy   -44.964 eV for the cell shown
# N(E_F)   0.571 states/eV per atom
# Crystal system   monoclinic



# 8
# TaPt2RhBr PBE-GGA relaxed
data_TaPt2RhBr
_chemical_formula_sum 'Ta1 Pt2 Rh1 Br1'
_cell_length_a 4.631
_cell_length_b 4.631
_cell_length_c 4.680
_cell_angle_alpha 90.00
_cell_angle_beta 90.00
_cell_angle_gamma 90.00
_space_group_name_H-M_alt 'P 4/m m m'
_space_group_IT_number 123
_space_group_name_Hall '-P 4 2'
loop_
_atom_site_label
_atom_site_type_symbol
_atom_site_fract_x
_atom_site_fract_y
_atom_site_fract_z
_atom_site_occupancy
Ta1 Ta 0.000 0.000 0.000 1
Pt1 Pt 0.000 0.500 0.500 1
Rh1 Rh 0.500 0.500 0.000 1
Br1 Br 0.000 0.000 0.500 1
# Total magnetization   0.000 μB/atom
# Calculated volume   20.07 A^3/atom
# Theoretical density   12.47 Mg/m³
# Formation energy without anion corrections   1.3820 eV/atom
# Electronic total energy   -26.048 eV for the cell shown
# N(E_F)   0.740 states/eV per atom
# Crystal system   tetragonal



# 9
# TiPt2RhBr PBE-GGA relaxed
data_TiPt2RhBr
_chemical_formula_sum 'Ti1 Pt2 Rh1 Br1'
_cell_length_a 4.729
_cell_length_b 4.729
_cell_length_c 4.759
_cell_angle_alpha 90.00
_cell_angle_beta 90.00
_cell_angle_gamma 90.00
_space_group_name_H-M_alt 'P 4/m m m'
_space_group_IT_number 123
_space_group_name_Hall '-P 4 2'
loop_
_atom_site_label
_atom_site_type_symbol
_atom_site_fract_x
_atom_site_fract_y
_atom_site_fract_z
_atom_site_occupancy
Ti1 Ti 0.000 0.000 0.000 1
Pt1 Pt 0.000 0.500 0.000 1
Rh1 Rh 0.500 0.500 0.500 1
Br1 Br 0.000 0.000 0.500 1
# Total magnetization   0.194 μB/atom
# Calculated volume   21.28 A^3/atom
# Theoretical density   9.69 Mg/m³
# Formation energy without anion corrections   0.7441 eV/atom
# Electronic total energy   -25.280 eV for the cell shown
# N(E_F)   1.127 states/eV per atom
# Crystal system   tetragonal



# 10
# V2PtRhBr PBE-GGA relaxed
data_V2PtRhBr
_chemical_formula_sum 'V2 Pt1 Rh1 Br1'
_cell_length_a 4.560
_cell_length_b 4.560
_cell_length_c 4.993
_cell_angle_alpha 90.00
_cell_angle_beta 90.00
_cell_angle_gamma 90.00
_space_group_name_H-M_alt 'P 4/m m m'
_space_group_IT_number 123
_space_group_name_Hall '-P 4 2'
loop_
_atom_site_label
_atom_site_type_symbol
_atom_site_fract_x
_atom_site_fract_y
_atom_site_fract_z
_atom_site_occupancy
V1 V 0.000 0.500 0.000 1
Pt1 Pt 0.000 0.000 0.500 1
Rh1 Rh 0.000 0.000 0.000 1
Br1 Br 0.500 0.500 0.500 1
# Total magnetization   0.000 μB/atom
# Calculated volume   20.76 A^3/atom
# Theoretical density   7.67 Mg/m³
# Formation energy without anion corrections   1.0700 eV/atom
# Electronic total energy   -27.953 eV for the cell shown
# N(E_F)   1.412 states/eV per atom
# Crystal system   tetragonal



# 11
# Zr2PtRhBr PBE-GGA relaxed
data_Zr2PtRhBr
_chemical_formula_sum 'Zr2 Pt1 Rh1 Br1'
_cell_length_a 4.991
_cell_length_b 4.991
_cell_length_c 4.941
_cell_angle_alpha 90.00
_cell_angle_beta 90.00
_cell_angle_gamma 90.00
_space_group_name_H-M_alt 'P 4/m m m'
_space_group_IT_number 123
_space_group_name_Hall '-P 4 2'
loop_
_atom_site_label
_atom_site_type_symbol
_atom_site_fract_x
_atom_site_fract_y
_atom_site_fract_z
_atom_site_occupancy
Zr1 Zr 0.000 0.500 0.000 1
Pt1 Pt 0.000 0.000 0.500 1
Rh1 Rh 0.000 0.000 0.000 1
Br1 Br 0.500 0.500 0.500 1
# Total magnetization   0.000 μB/atom
# Calculated volume   24.62 A^3/atom
# Theoretical density   7.56 Mg/m³
# Formation energy without anion corrections   0.2320 eV/atom
# Electronic total energy   -31.002 eV for the cell shown
# N(E_F)   0.895 states/eV per atom
# Crystal system   tetragonal



# 12
# RuPt2Br PBE-GGA relaxed
data_RuPt2Br
_chemical_formula_sum 'Ru3 Pt6 Br3'
_cell_length_a 2.8026
_cell_length_b 2.8026
_cell_length_c 31.3973
_cell_angle_alpha 90.00
_cell_angle_beta 90.00
_cell_angle_gamma 120.00
_space_group_name_H-M_alt 'R -3 m'
_space_group_IT_number 166
_space_group_name_Hall '-R 3 2"'
loop_
_atom_site_label
_atom_site_type_symbol
_atom_site_fract_x
_atom_site_fract_y
_atom_site_fract_z
_atom_site_occupancy
Ru1 Ru 0.0000 0.0000 0.0000 1
Pt1 Pt 0.0000 0.0000 0.2637 1
Br1 Br 0.0000 0.0000 0.5000 1
# Total magnetization   0.000 μB/atom
# Calculated volume   17.80 A^3/atom
# Theoretical density   13.32 Mg/m³
# Formation energy without anion corrections   0.4560 eV/atom
# Electronic total energy   -63.619 eV for the cell shown
# N(E_F)   1.264 states/eV per atom
# Crystal system   trigonal



Q: Which of these has the highest total magnetization?
A: PtRh3Br